<w>
The following is a DFT calculation (PBE) of a geometry-optimized DySc2Cu4Si2Ge2 structure.

It has space group Immm (No. 71), with a = 4.024 Å, b = 6.612 Å, c = 13.385 Å, α = 90.00°, β = 90.00° and γ = 90.00°. The inequivalent atoms are Dy at (0.000, 0.000, 0.000), Sc at (0.000, 0.500, 0.125), Cu at (0.000, 0.307, 0.334), Si at (0.000, 0.180, 0.500) and Ge at (0.000, 0.000, 0.222).

The spin magnetization is 0.00 μB per cell. Its crystal system is orthorhombic.

<x>
The following is a DFT calculation (PBE) of a geometry-optimized DySc2Cu4Si2Ge2 structure.

It has space group Immm (No. 71), with a = 3.991 Å, b = 6.630 Å, c = 13.372 Å, α = 90.00°, β = 90.00° and γ = 90.00°. The inequivalent atoms are Dy at (0.000, 0.000, 0.000), Sc at (0.000, 0.500, 0.127), Cu at (0.000, 0.307, 0.324), Si at (0.000, 0.000, 0.221) and Ge at (0.000, 0.188, 0.500).

The spin magnetization is 0.00 μB per cell. Its crystal system is orthorhombic.

<x> wins, 0.015 eV/atom ahead of the next structure.

<w>
The following is a DFT calculation (PBE) of a geometry-optimized Dy3Cu4Si2Ge2 structure.

It has space group Immm (No. 71), with a = 4.188 Å, b = 6.603 Å, c = 13.831 Å, α = 90.00°, β = 90.00° and γ = 90.00°. The inequivalent atoms are Dy at (0.000, 0.000, 0.000), Dy at (0.000, 0.500, 0.130), Cu at (0.000, 0.309, 0.337), Si at (0.000, 0.183, 0.500) and Ge at (0.000, 0.000, 0.217).

The spin magnetization is 0.01 μB per cell. Its crystal system is orthorhombic.

<x>
The following is a DFT calculation (PBE) of a geometry-optimized Dy3Cu4Si2Ge2 structure.

It has space group Immm (No. 71), with a = 4.148 Å, b = 6.613 Å, c = 13.861 Å, α = 90.00°, β = 90.00° and γ = 90.00°. The inequivalent atoms are Dy at (0.000, 0.000, 0.000), Dy at (0.000, 0.500, 0.130), Cu at (0.000, 0.310, 0.326), Si at (0.000, 0.000, 0.216) and Ge at (0.000, 0.193, 0.500).

The spin magnetization is 0.00 μB per cell. Its crystal system is orthorhombic.

<x> wins, 0.007 eV/atom ahead of the next structure.

<w>
The following is a DFT calculation (PBE) of a geometry-optimized DyY2Cu4Si2Ge2 structure.

It has space group Immm (No. 71), with a = 4.196 Å, b = 6.612 Å, c = 13.841 Å, α = 90.00°, β = 90.00° and γ = 90.00°. The inequivalent atoms are Dy at (0.000, 0.000, 0.000), Y at (0.000, 0.500, 0.130), Cu at (0.000, 0.311, 0.337), Si at (0.000, 0.184, 0.500) and Ge at (0.000, 0.000, 0.217).

The spin magnetization is 0.00 μB per cell. Its crystal system is orthorhombic.

<x>
The following is a DFT calculation (PBE) of a geometry-optimized DyY2Cu4Si2Ge2 structure.

It has space group Immm (No. 71), with a = 4.149 Å, b = 6.622 Å, c = 13.876 Å, α = 90.00°, β = 90.00° and γ = 90.00°. The inequivalent atoms are Dy at (0.000, 0.000, 0.000), Y at (0.000, 0.500, 0.130), Cu at (0.000, 0.310, 0.327), Si at (0.000, 0.000, 0.216) and Ge at (0.000, 0.193, 0.500).

The spin magnetization is 0.02 μB per cell. Its crystal system is orthorhombic.

<x> wins, 0.007 eV/atom ahead of the next structure.